No. 1
## BeFe2Br (PBE-GGA)

Data for a relaxed BeFe2Br crystal.

a b c (Å): 5.6645 5.6645 5.6645
angles (deg): 90.00 90.00 90.00
Closest atoms and distances in Å follow each position.
Space group Fm-3m (No. 225)
Unique sites:
1 Be 0.0000 0.0000 0.0000  8 Fe 2.45
2 Fe 0.2500 0.2500 0.2500  4 Br 2.45, 4 Be 2.45
3 Br 0.0000 0.0000 0.5000  8 Fe 2.45

## Properties
Energy relative to the elements, uncorrected in kJ/mol of atoms: 85.4

=====

No. 2
## Si2TcNi (PBE-GGA)

Data for a relaxed Si2TcNi crystal.

a b c (Å): 8.6705 2.9816 4.0516
angles (deg): 90.00 106.13 90.00
Closest atoms and distances in Å follow each position.
Space group Cm (No. 8)
Unique sites:
1 Si 0.0000 0.0000 0.0000  3 Tc 2.47, 4 Ni 2.49-2.54, 2 Si 2.74
2 Si 0.2462 0.0000 0.6299  3 Ni 2.42-2.51, 4 Tc 2.50-2.53
3 Tc 0.2364 0.5000 0.1203  7 Si 2.47-2.53, 1 Ni 2.72
4 Ni 0.0045 0.5000 0.5113  7 Si 2.42-2.54

## Properties
Energy relative to the elements, uncorrected in kJ/mol of atoms: -44.0

=====

| no. | M_tot (Bohr magnetons per cell) | density (g/cm3) |
| --- | --- | --- |
| 1 | 0.05 | 7.33 |
| 2 | 0.00 | 7.03 |